<A>
A plane-wave DFT calculation with PBE was carried out for a geometry-optimized Cd2AgH2 structure.

Calculated values
Crystal system: monoclinic

```
Cd2AgH2
1.0
2.533 -1.463 0.000
2.533 1.463 0.000
-0.089 0.000 11.904
Cd Ag H
2 1 2
Direct
0.160 0.160 0.276 Cd
0.840 0.840 0.724 Cd
0.500 0.500 0.500 Ag
0.022 0.022 0.970 H
0.978 0.978 0.030 H
```



<B>
A plane-wave DFT calculation with PBE was carried out for a geometry-optimized Cd2AgH2 structure.

Calculated values
Crystal system: tetragonal

```
Cd2AgH2
1.0
-1.610 1.610 6.813
1.610 -1.610 6.813
1.610 1.610 -6.813
Cd Ag H
2 1 2
Direct
0.144 0.144 0.000 Cd
0.856 0.856 0.000 Cd
0.500 0.500 0.000 Ag
0.250 0.750 0.500 H
0.750 0.250 0.500 H
```



The calculated energies rank the structures as follows, beginning with the most stable: <A>, <B>.



<A>
A plane-wave DFT calculation with PBE was carried out for a geometry-optimized Cd3AgH structure.

Calculated values
Crystal system: cubic

```
Cd3AgH
1.0
5.326 0.000 0.000
0.000 5.326 0.000
0.000 0.000 5.326
Cd Ag H
3 1 1
Direct
0.000 0.000 0.500 Cd
0.000 0.500 0.000 Cd
0.500 0.000 0.000 Cd
0.000 0.000 0.000 Ag
0.500 0.500 0.500 H
```



<B>
A plane-wave DFT calculation with PBE was carried out for a geometry-optimized Cd3AgH structure.

Calculated values
Crystal system: cubic

```
Cd3AgH
1.0
4.461 0.000 0.000
0.000 4.461 0.000
0.000 0.000 4.461
Cd Ag H
3 1 1
Direct
0.000 0.000 0.500 Cd
0.000 0.500 0.000 Cd
0.500 0.000 0.000 Cd
0.500 0.500 0.500 Ag
0.000 0.000 0.000 H
```



The calculated energies rank the structures as follows, beginning with the most stable: <B>, <A>.



<A>
A plane-wave DFT calculation with PBE was carried out for a geometry-optimized Cd2AgH structure.

Calculated values
Crystal system: tetragonal

```
Cd2AgH
1.0
-3.345 3.345 3.103
3.345 -3.345 3.103
3.345 3.345 -3.103
Cd Ag H
4 2 2
Direct
0.044 0.125 0.419 Cd
0.375 0.956 0.081 Cd
0.706 0.625 0.581 Cd
0.875 0.294 0.919 Cd
0.250 0.750 0.500 Ag
0.500 0.500 0.000 Ag
0.000 0.000 0.000 H
0.750 0.250 0.500 H
```



<B>
A plane-wave DFT calculation with PBE was carried out for a geometry-optimized Cd2AgH structure.

Calculated values
Crystal system: cubic

```
Cd2AgH
1.0
0.000 3.300 3.300
3.300 0.000 3.300
3.300 3.300 0.000
Cd Ag H
2 1 1
Direct
0.250 0.250 0.250 Cd
0.750 0.750 0.750 Cd
0.000 0.000 0.000 Ag
0.500 0.500 0.500 H
```



The calculated energies rank the structures as follows, beginning with the most stable: <A>, <B>.



<A>
A plane-wave DFT calculation with PBE was carried out for a geometry-optimized Cd2Ag2H structure.

Calculated values
Crystal system: tetragonal

```
Cd2Ag2H
1.0
-1.977 1.977 6.944
1.977 -1.977 6.944
1.977 1.977 -6.944
Cd Ag H
2 2 1
Direct
0.250 0.750 0.500 Cd
0.750 0.250 0.500 Cd
0.097 0.097 0.000 Ag
0.903 0.903 0.000 Ag
0.500 0.500 0.000 H
```



<B>
A plane-wave DFT calculation with PBE was carried out for a geometry-optimized Cd2Ag2H structure.

Calculated values
Crystal system: tetragonal

```
Cd2Ag2H
1.0
5.711 0.000 0.000
0.000 5.711 0.000
0.000 0.000 5.305
Cd Ag H
4 4 2
Direct
0.174 0.326 0.000 Cd
0.326 0.826 0.000 Cd
0.674 0.174 0.000 Cd
0.826 0.674 0.000 Cd
0.178 0.678 0.500 Ag
0.322 0.178 0.500 Ag
0.678 0.822 0.500 Ag
0.822 0.322 0.500 Ag
0.000 0.000 0.500 H
0.500 0.500 0.500 H
```



The calculated energies rank the structures as follows, beginning with the most stable: <B>, <A>.



<A>
A plane-wave DFT calculation with PBE was carried out for a geometry-optimized CdAgH3 structure.

Calculated values
Crystal system: cubic

```
CdAgH3
1.0
3.921 0.000 0.000
0.000 3.921 0.000
0.000 0.000 3.921
Cd Ag H
1 1 3
Direct
0.000 0.000 0.000 Cd
0.500 0.500 0.500 Ag
0.000 0.000 0.500 H
0.000 0.500 0.000 H
0.500 0.000 0.000 H
```



<B>
A plane-wave DFT calculation with PBE was carried out for a geometry-optimized CdAgH3 structure.

Calculated values
Crystal system: cubic

```
CdAgH3
1.0
3.823 0.000 0.000
0.000 3.823 0.000
0.000 0.000 3.823
Cd Ag H
1 1 3
Direct
0.000 0.000 0.000 Cd
0.500 0.500 0.500 Ag
0.000 0.500 0.500 H
0.500 0.000 0.500 H
0.500 0.500 0.000 H
```



The calculated energies rank the structures as follows, beginning with the most stable: <B>, <A>.



<A>
A plane-wave DFT calculation with PBE was carried out for a geometry-optimized CdAgH structure.

Calculated values
Crystal system: trigonal

```
CdAgH
1.0
3.012 0.000 0.000
-1.506 2.608 0.000
0.000 0.000 6.026
Cd Ag H
1 1 1
Direct
0.000 0.000 0.000 Cd
0.667 0.333 0.439 Ag
0.333 0.667 0.561 H
```



<B>
A plane-wave DFT calculation with PBE was carried out for a geometry-optimized CdAgH structure.

Calculated values
Crystal system: monoclinic

```
CdAgH
1.0
2.086 -2.083 0.000
2.086 2.083 0.000
-1.869 0.000 13.052
Cd Ag H
2 2 2
Direct
0.141 0.141 0.252 Cd
0.859 0.859 0.748 Cd
0.285 0.285 0.579 Ag
0.715 0.715 0.421 Ag
0.480 0.480 0.971 H
0.520 0.520 0.029 H
```



The calculated energies rank the structures as follows, beginning with the most stable: <B>, <A>.